Record 1
Sc2AgOs, relaxed, DFT PBE-GGA; space-group type = Fm-3m, No. 225; magnetic moment = 0.0 μB/cell; DFT formation energy = -1.5 eV per formula unit; calculated total energy = -7.057 eV per atom
1.0
0.000 3.304 3.304
3.304 0.000 3.304
3.304 3.304 0.000
Sc Ag Os
2 1 1
Direct
0.250 0.250 0.250
0.750 0.750 0.750
0.000 0.000 0.000
0.500 0.500 0.500

=====

Record 2
ScAg2Os, relaxed, DFT PBE-GGA; space-group type = I-42d, No. 122; magnetic moment = 0.0 μB/cell; DFT formation energy = 1.7 eV per formula unit; calculated total energy = -5.400 eV per atom
1.0
-1.916 1.916 10.169
1.916 -1.916 10.169
1.916 1.916 -10.169
Sc Ag Os
2 4 2
Direct
0.000 0.000 0.000
0.750 0.250 0.500
0.133 0.625 0.008
0.375 0.383 0.508
0.617 0.125 0.992
0.875 0.867 0.492
0.250 0.750 0.500
0.500 0.500 0.000

=====

Record 3
Sc2AgOs2, relaxed, DFT PBE-GGA; space-group type = P4/mbm, No. 127; magnetic moment = 0.0 μB/cell; DFT formation energy = -0.2 eV per formula unit; calculated total energy = -7.641 eV per atom
1.0
6.817 0.000 0.000
0.000 6.817 0.000
0.000 0.000 4.022
Sc Ag Os
4 2 4
Direct
0.177 0.323 0.000
0.323 0.823 0.000
0.677 0.177 0.000
0.823 0.677 0.000
0.000 0.000 0.500
0.500 0.500 0.500
0.124 0.624 0.500
0.376 0.124 0.500
0.624 0.876 0.500
0.876 0.376 0.500

=====

Record 4
Sc2AgOs, relaxed, DFT PBE-GGA; space-group type = C2/m, No. 12; magnetic moment = 0.0 μB/cell; DFT formation energy = -0.1 eV per formula unit; calculated total energy = -6.720 eV per atom
1.0
3.628 -1.565 0.000
3.628 1.565 0.000
-1.057 0.000 7.220
Sc Ag Os
2 1 1
Direct
0.243 0.243 0.208
0.757 0.757 0.792
0.000 0.000 0.500
0.500 0.500 0.000

=====

Record 5
Sc2AgOs, relaxed, DFT PBE-GGA; space-group type = R-3m, No. 166; magnetic moment = 0.0 μB/cell; DFT formation energy = -0.3 eV per formula unit; calculated total energy = -6.758 eV per atom
1.0
1.583 0.914 8.842
-1.583 0.914 8.842
0.000 -1.828 8.842
Sc Ag Os
2 1 1
Direct
0.241 0.241 0.241
0.759 0.759 0.759
0.000 0.000 0.000
0.500 0.500 0.500

=====

Record 6
ScAgOs, relaxed, DFT PBE-GGA; space-group type = F-43m, No. 216; magnetic moment = 0.1 μB/cell; DFT formation energy = 1.9 eV per formula unit; calculated total energy = -6.171 eV per atom
1.0
0.000 3.148 3.148
3.148 0.000 3.148
3.148 3.148 0.000
Sc Ag Os
1 1 1
Direct
0.000 0.000 0.000
0.500 0.500 0.500
0.250 0.250 0.250

=====

Record 7
ScAgOs, relaxed, DFT PBE-GGA; space-group type = I4mm, No. 107; magnetic moment = 0.0 μB/cell; DFT formation energy = 0.4 eV per formula unit; calculated total energy = -6.661 eV per atom
1.0
-1.660 1.660 4.778
1.660 -1.660 4.778
1.660 1.660 -4.778
Sc Ag Os
1 1 1
Direct
0.000 0.000 0.000
0.315 0.315 0.000
0.642 0.642 0.000

=====

Record 8
ScAg2Os, relaxed, DFT PBE-GGA; space-group type = Fm-3m, No. 225; magnetic moment = 0.0 μB/cell; DFT formation energy = 1.3 eV per formula unit; calculated total energy = -5.496 eV per atom
1.0
0.000 3.268 3.268
3.268 0.000 3.268
3.268 3.268 0.000
Sc Ag Os
1 2 1
Direct
0.000 0.000 0.000
0.250 0.250 0.250
0.750 0.750 0.750
0.500 0.500 0.500

=====

Record 9
ScAgOs, relaxed, DFT PBE-GGA; space-group type = Imm2, No. 44; magnetic moment = 0.0 μB/cell; DFT formation energy = 0.4 eV per formula unit; calculated total energy = -6.659 eV per atom
1.0
-1.400 2.083 4.436
1.400 -2.083 4.436
1.400 2.083 -4.436
Sc Ag Os
1 1 1
Direct
0.000 0.000 0.000
0.678 0.678 0.000
0.346 0.346 0.000

=====

Record 10
ScAg2Os, relaxed, DFT PBE-GGA; space-group type = Cm, No. 8; magnetic moment = 0.0 μB/cell; DFT formation energy = 0.8 eV per formula unit; calculated total energy = -5.616 eV per atom
1.0
4.962 -1.552 0.000
4.962 1.552 0.000
-1.963 0.000 4.550
Sc Ag Os
1 2 1
Direct
0.000 0.000 0.000
0.525 0.525 0.519
0.770 0.770 0.388
0.269 0.269 0.905

=====

Record 11
ScAg2Os, relaxed, DFT PBE-GGA; space-group type = Immm, No. 71; magnetic moment = 0.0 μB/cell; DFT formation energy = 0.5 eV per formula unit; calculated total energy = -5.691 eV per atom
1.0
-1.605 2.214 4.915
1.605 -2.214 4.915
1.605 2.214 -4.915
Sc Ag Os
1 2 1
Direct
0.000 0.000 0.000
0.264 0.764 0.500
0.736 0.236 0.500
0.500 0.500 0.000

=====

Record 12
Sc2AgOs, relaxed, DFT PBE-GGA; space-group type = P4/mmm, No. 123; magnetic moment = 0.0 μB/cell; DFT formation energy = -1.8 eV per formula unit; calculated total energy = -7.132 eV per atom
1.0
3.224 0.000 0.000
0.000 3.224 0.000
0.000 0.000 7.166
Sc Ag Os
2 1 1
Direct
0.000 0.000 0.218
0.000 0.000 0.782
0.500 0.500 0.500
0.500 0.500 0.000

=====

Record 13
ScAgSnOs, relaxed, DFT PBE-GGA; space-group type = P4mm, No. 99; magnetic moment = 0.0 μB/cell; DFT formation energy = -0.5 eV per formula unit; calculated total energy = -6.217 eV per atom
1.0
3.366 0.000 0.000
0.000 3.366 0.000
0.000 0.000 6.585
Sc Ag Sn Os
1 1 1 1
Direct
0.000 0.000 0.000
0.500 0.500 0.261
0.000 0.000 0.535
0.500 0.500 0.782

=====

Record 14
ScAgSnOs, relaxed, DFT PBE-GGA; space-group type = Amm2, No. 38; magnetic moment = 0.0 μB/cell; DFT formation energy = 0.0 eV per formula unit; calculated total energy = -6.116 eV per atom
1.0
4.481 0.000 0.000
0.000 1.668 5.099
0.000 -1.668 5.099
Sc Ag Sn Os
1 1 1 1
Direct
0.000 0.000 0.000
0.000 0.273 0.273
0.500 0.704 0.704
0.500 0.437 0.437

=====

Record 15
ScAgSnOs, relaxed, DFT PBE-GGA; space-group type = Pmmm, No. 47; magnetic moment = 0.0 μB/cell; DFT formation energy = -0.3 eV per formula unit; calculated total energy = -6.167 eV per atom
1.0
3.710 0.000 0.000
0.000 4.346 0.000
0.000 0.000 4.503
Sc Ag Sn Os
1 1 1 1
Direct
0.000 0.000 0.000
0.500 0.000 0.500
0.000 0.500 0.500
0.500 0.500 0.000

=====

Record 16
ScAgSnOs, relaxed, DFT PBE-GGA; space-group type = Cm, No. 8; magnetic moment = 0.0 μB/cell; DFT formation energy = -0.1 eV per formula unit; calculated total energy = -6.128 eV per atom
1.0
4.904 -1.708 0.000
4.904 1.708 0.000
-1.485 0.000 4.402
Sc Ag Sn Os
1 1 1 1
Direct
0.000 0.000 0.000
0.484 0.484 0.486
0.233 0.233 0.666
0.726 0.726 0.149

=====

Record 17
ScAgSnOs, relaxed, DFT PBE-GGA; space-group type = F222, No. 22; magnetic moment = 0.0 μB/cell; DFT formation energy = -0.4 eV per formula unit; calculated total energy = -6.206 eV per atom
1.0
0.000 3.307 3.316
3.296 0.000 3.316
3.296 3.307 0.000
Sc Ag Sn Os
1 1 1 1
Direct
0.000 0.000 0.000
0.250 0.250 0.250
0.500 0.500 0.500
0.750 0.750 0.750

=====

Record 18
ScAgSnOs, relaxed, DFT PBE-GGA; space-group type = P1, No. 1; magnetic moment = 0.0 μB/cell; DFT formation energy = -0.1 eV per formula unit; calculated total energy = -6.130 eV per atom
1.0
3.410 0.000 0.000
-1.704 4.780 0.000
-1.698 -0.674 4.803
Sc Ag Sn Os
1 1 1 1
Direct
0.000 0.000 0.000
0.164 0.519 0.808
0.502 0.622 0.380
0.315 0.066 0.561

=====

Record 19
ScAgSnOs, relaxed, DFT PBE-GGA; space-group type = Pmm2, No. 25; magnetic moment = 0.0 μB/cell; DFT formation energy = 0.1 eV per formula unit; calculated total energy = -6.070 eV per atom
1.0
3.485 0.000 0.000
0.000 3.758 0.000
0.000 0.000 5.772
Sc Ag Sn Os
1 1 1 1
Direct
0.000 0.000 0.000
0.000 0.000 0.471
0.500 0.500 0.684
0.500 0.500 0.176

=====

Record 20
ScAgSnOs, relaxed, DFT PBE-GGA; space-group type = Cm, No. 8; magnetic moment = 0.0 μB/cell; DFT formation energy = -0.4 eV per formula unit; calculated total energy = -6.200 eV per atom
1.0
4.852 -1.687 0.000
4.852 1.687 0.000
-1.369 0.000 4.502
Sc Ag Sn Os
1 1 1 1
Direct
0.000 0.000 0.000
0.249 0.249 0.831
0.765 0.765 0.354
0.497 0.497 0.488

=====

Record 21
ScAgSnOs, relaxed, DFT PBE-GGA; space-group type = Cm, No. 8; magnetic moment = 0.0 μB/cell; DFT formation energy = 0.2 eV per formula unit; calculated total energy = -6.063 eV per atom
1.0
4.628 -1.602 0.000
4.628 1.602 0.000
-1.022 0.000 5.048
Sc Ag Sn Os
1 1 1 1
Direct
0.000 0.000 0.000
0.760 0.760 0.248
0.526 0.526 0.533
0.270 0.270 0.756

=====

Record 22
ScAgSnOs, relaxed, DFT PBE-GGA; space-group type = I-4m2, No. 119; magnetic moment = 0.0 μB/cell; DFT formation energy = -0.3 eV per formula unit; calculated total energy = -6.190 eV per atom
1.0
-2.048 2.048 4.291
2.048 -2.048 4.291
2.048 2.048 -4.291
Sc Ag Sn Os
1 1 1 1
Direct
0.000 0.000 0.000
0.250 0.750 0.500
0.750 0.250 0.500
0.500 0.500 0.000

=====

Record 23
SrScAgOs2, relaxed, DFT PBE-GGA; space-group type = P4/mmm, No. 123; magnetic moment = 0.1 μB/cell; DFT formation energy = 12.9 eV per formula unit; calculated total energy = -4.075 eV per atom
1.0
4.819 0.000 0.000
0.000 4.819 0.000
0.000 0.000 4.959
Sr Sc Ag Os
1 1 1 2
Direct
0.000 0.000 0.000
0.000 0.000 0.500
0.500 0.500 0.500
0.000 0.500 0.000
0.500 0.000 0.000

=====

Record 24
ThScAgOs, relaxed, DFT PBE-GGA; space-group type = F-43m, No. 216; magnetic moment = 0.0 μB/cell; DFT formation energy = -0.8 eV per formula unit; calculated total energy = -7.147 eV per atom
1.0
0.000 3.504 3.504
3.504 0.000 3.504
3.504 3.504 0.000
Th Sc Ag Os
1 1 1 1
Direct
0.000 0.000 0.000
0.500 0.500 0.500
0.250 0.250 0.250
0.750 0.750 0.750

=====

Record 25
ScTiAgOs, relaxed, DFT PBE-GGA; space-group type = F-43m, No. 216; magnetic moment = 0.0 μB/cell; DFT formation energy = -1.0 eV per formula unit; calculated total energy = -7.338 eV per atom
1.0
0.000 3.236 3.236
3.236 0.000 3.236
3.236 3.236 0.000
Sc Ti Ag Os
1 1 1 1
Direct
0.000 0.000 0.000
0.500 0.500 0.500
0.250 0.250 0.250
0.750 0.750 0.750

=====

Record 26
TmScAgOs, relaxed, DFT PBE-GGA; space-group type = P4mm, No. 99; magnetic moment = 0.0 μB/cell; DFT formation energy = -1.6 eV per formula unit; calculated total energy = -6.629 eV per atom
1.0
3.295 0.000 0.000
0.000 3.295 0.000
0.000 0.000 7.331
Tm Sc Ag Os
1 1 1 1
Direct
0.000 0.000 0.000
0.000 0.000 0.562
0.500 0.500 0.297
0.500 0.500 0.767

=====

Record 27
TmScAgOs, relaxed, DFT PBE-GGA; space-group type = F-43m, No. 216; magnetic moment = 0.0 μB/cell; DFT formation energy = -1.4 eV per formula unit; calculated total energy = -6.559 eV per atom
1.0
0.000 3.381 3.381
3.381 0.000 3.381
3.381 3.381 0.000
Tm Sc Ag Os
1 1 1 1
Direct
0.000 0.000 0.000
0.500 0.500 0.500
0.750 0.750 0.750
0.250 0.250 0.250

=====

Record 28
AgOsSe2, relaxed, DFT PBE-GGA; space-group type = R-3m, No. 166; magnetic moment = 0.5 μB/cell; calculated total energy = -5.028 eV per atom
1.0
1.832 1.058 7.006
-1.832 1.058 7.006
0.000 -2.115 7.006
Ag Os Se
1 1 2
Direct
0.000 0.000 0.000
0.500 0.500 0.500
0.232 0.232 0.232
0.768 0.768 0.768

=====

Record 29
AgOs2Se, relaxed, DFT PBE-GGA; space-group type = Cmmm, No. 65; magnetic moment = 0.0 μB/cell; calculated total energy = -6.095 eV per atom
1.0
2.929 -3.659 0.000
2.929 3.659 0.000
0.000 0.000 2.923
Ag Os Se
1 2 1
Direct
0.000 0.000 0.000
0.000 0.500 0.500
0.500 0.000 0.500
0.500 0.500 0.000